(1)
Pd2SCl: relaxed, PBE-GGA.

The calculated volume comes out at 254.8 Å³ per cell. As for the uncorrected formation energy: 0.201 eV/atom. For the polymorph energy (0 for the lowest one), the calculation gives 0.365 eV per atom. As for the crystal system: cubic. Its total energy is -15.56 eV per formula unit.

The space group is Fm-3m (No. 225) and the conventional cell measures 6.339, 6.339 and 6.339 Å, with angles of 90.00, 90.00 and 90.00 degrees. The asymmetric unit holds Pd at (0.250, 0.250, 0.250), S at (0.000, 0.000, 0.000) and Cl at (0.000, 0.000, 0.500).

(2)
Sc4CrFe2: relaxed, PBE-GGA.

The calculated volume comes out at 290.6 Å³ per cell. The calculation puts the formation energy from the elements at 0.5930 eV/atom. As for the crystal system: tetragonal. Its total energy is -47.72 eV per formula unit.

The space group is I4/mmm (No. 139) and the conventional cell measures 4.906, 4.906 and 12.072 Å, with angles of 90.00, 90.00 and 90.00 degrees. The asymmetric unit holds Sc at (0.000, 0.000, 0.203), Sc at (0.000, 0.500, 0.000), Cr at (0.000, 0.000, 0.000) and Fe at (0.000, 0.000, 0.405).

(3)
Ba2InGe3Au4: relaxed, PBE-GGA.

The calculated volume comes out at 243.8 Å³ per cell. The calculation puts the formation energy from the elements at -0.5083 eV/atom. As for the crystal system: tetragonal. Its total energy is -38.63 eV per formula unit.

The space group is P-4m2 (No. 115) and the conventional cell measures 4.695, 4.695 and 11.059 Å, with angles of 90.00, 90.00 and 90.00 degrees. The asymmetric unit holds Ba at (0.000, 0.500, 0.240), In at (0.000, 0.000, 0.500), Ge at (0.000, 0.500, 0.879), Ge at (0.500, 0.500, 0.500), Au at (0.000, 0.000, 0.000), Au at (0.000, 0.500, 0.640) and Au at (0.500, 0.500, 0.000).

(4)
Cd3SiTe: relaxed, PBE-GGA.

The calculated volume comes out at 178.8 Å³ per cell. As for the uncorrected formation energy: 0.872 eV/atom. For the polymorph energy (0 for the lowest one), the calculation gives 0.678 eV per atom. As for the crystal system: cubic. Its total energy is -6.95 eV per formula unit.

The space group is Pm-3m (No. 221) and the conventional cell measures 5.634, 5.634 and 5.634 Å, with angles of 90.00, 90.00 and 90.00 degrees. The asymmetric unit holds Cd at (0.000, 0.000, 0.500), Si at (0.500, 0.500, 0.500) and Te at (0.000, 0.000, 0.000).

(5)
CoRh2Cl2: relaxed, PBE-GGA.

The calculated volume comes out at 208.6 Å³ per cell. As for the uncorrected formation energy: 0.735 eV/atom. For the polymorph energy (0 for the lowest one), the calculation gives 0.319 eV per atom. As for the crystal system: tetragonal. Its total energy is -21.83 eV per formula unit.

The space group is I4/mmm (No. 139) and the conventional cell measures 3.381, 3.381 and 18.250 Å, with angles of 90.00, 90.00 and 90.00 degrees. The asymmetric unit holds Co at (0.000, 0.000, 0.000), Rh at (0.000, 0.500, 0.250) and Cl at (0.000, 0.000, 0.420).

(6)
RbTaSe3: relaxed, PBE-GGA.

The calculated volume comes out at 673.0 Å³ per cell. As for the uncorrected formation energy: -0.950 eV/atom. As for the crystal system: monoclinic. Its total energy is -28.02 eV per formula unit.

The space group is P2_1/c (No. 14) and the conventional cell measures 7.463, 6.816 and 15.060 Å, with angles of 90.00, 118.53 and 90.00 degrees. The asymmetric unit holds Rb at (0.072, 0.245, 0.150), Ta at (0.397, 0.249, 0.476), Se at (0.036, 0.247, 0.397), Se at (0.457, 0.519, 0.373) and Se at (0.487, 0.514, 0.115).

(7)
ReSiPb3: relaxed, PBE-GGA.

The calculated volume comes out at 152.3 Å³ per cell. As for the uncorrected formation energy: 0.963 eV/atom. For the polymorph energy (0 for the lowest one), the calculation gives 0.000 eV per atom. As for the crystal system: cubic. Its total energy is -24.18 eV per formula unit.

The space group is Pm-3m (No. 221) and the conventional cell measures 5.341, 5.341 and 5.341 Å, with angles of 90.00, 90.00 and 90.00 degrees. The asymmetric unit holds Re at (0.000, 0.000, 0.000), Si at (0.500, 0.500, 0.500) and Pb at (0.000, 0.000, 0.500).

(8)
Sr3Tb3ScSe8: relaxed, PBE-GGA.

The calculated volume comes out at 1274.9 Å³ per cell. As for the uncorrected formation energy: -1.904 eV/atom. As for the crystal system: trigonal. Its total energy is -81.70 eV per formula unit.

The space group is R-3m (No. 166, hexagonal axes) and the conventional cell measures 8.2856, 8.2856 and 21.4431 Å, with angles of 90.00, 90.00 and 120.00 degrees. The asymmetric unit holds Sr at (0.0000, 0.5000, 0.0000), Tb at (0.0000, 0.5000, 0.5000), Sc at (0.0000, 0.0000, 0.5000), Se at (0.0000, 0.0000, 0.2441) and Se at (0.0103, 0.5052, 0.2405).

(9)
ZrB: relaxed, PBE-GGA.

The calculated volume comes out at 116.3 Å³ per cell. The calculation puts the formation energy from the elements at -0.1856 eV/atom. As for the crystal system: tetragonal. Its total energy is -15.60 eV per formula unit.

The space group is P4_2/mnm (No. 136) and the conventional cell measures 4.891, 4.891 and 4.860 Å, with angles of 90.00, 90.00 and 90.00 degrees. The asymmetric unit holds Zr at (0.193, 0.193, 0.000) and B at (0.134, 0.134, 0.500).

(10)
CeHgAs2: relaxed, PBE-GGA.

The calculated volume comes out at 87.7 Å³ per cell. The calculation puts the formation energy from the elements at -0.6635 eV/atom. For the polymorph energy (0 for the lowest one), the calculation gives 0.000 eV per atom. As for the crystal system: tetragonal. Its total energy is -18.19 eV per formula unit.

The space group is P4/mmm (No. 123) and the conventional cell measures 4.740, 4.740 and 3.902 Å, with angles of 90.00, 90.00 and 90.00 degrees. The asymmetric unit holds Ce at (0.000, 0.000, 0.000), Hg at (0.500, 0.500, 0.000) and As at (0.000, 0.500, 0.500).

(11)
Tc4SeN2: relaxed, PBE-GGA.

The calculated volume comes out at 228.4 Å³ per cell. As for the uncorrected formation energy: 1.436 eV/atom. As for the crystal system: tetragonal. Its total energy is -51.55 eV per formula unit.

The space group is I4/mmm (No. 139) and the conventional cell measures 4.543, 4.543 and 11.063 Å, with angles of 90.00, 90.00 and 90.00 degrees. The asymmetric unit holds Tc at (0.000, 0.000, 0.239), Tc at (0.000, 0.500, 0.000), Se at (0.000, 0.000, 0.000) and N at (0.000, 0.000, 0.396).

(12)
Ac2CeS3: relaxed, PBE-GGA.

The calculated volume comes out at 321.3 Å³ per cell. As for the uncorrected formation energy: -1.984 eV/atom. As for the crystal system: tetragonal. Its total energy is -38.44 eV per formula unit.

The space group is I4/mmm (No. 139) and the conventional cell measures 4.234, 4.234 and 17.926 Å, with angles of 90.00, 90.00 and 90.00 degrees. The asymmetric unit holds Ac at (0.000, 0.000, 0.165), Ce at (0.000, 0.000, 0.500), S at (0.000, 0.000, 0.000) and S at (0.000, 0.000, 0.337).